# ScZnNiAg | Alexandria via LeMat-Bulk | GGA-PBE | optimized geometry
data_ScZnNiAg
_chemical_formula_sum 'Sc4 Zn4 Ni4 Ag4'
_cell_length_a 6.3456
_cell_length_b 6.3456
_cell_length_c 6.3456
_cell_angle_alpha 90.00
_cell_angle_beta 90.00
_cell_angle_gamma 90.00
_symmetry_space_group_name_H-M 'F -4 3 m'
_symmetry_Int_Tables_number 216
_symmetry_space_group_name_Hall 'F -4 2 3'
loop_
_atom_site_label
_atom_site_type_symbol
_atom_site_fract_x
_atom_site_fract_y
_atom_site_fract_z
Sc1 Sc 0.0000 0.0000 0.0000
Zn1 Zn 0.0000 0.0000 0.5000
Ni1 Ni 0.2500 0.2500 0.2500
Ag1 Ag 0.2500 0.2500 0.7500
# crystal system = cubic
# calculated volume = 255.51 Å³ per cell
# magnetic moment = 0.000 μB/f.u.
# energy of formation = -0.2502 eV/atom